(1)
Compound: NbV2AuC
Source: Alexandria via LeMat-Bulk
Functional: PBE
Structure: optimized geometry

Cell lengths 4.0274, 4.0274, 4.3076 Å; angles 90.00, 90.00, 90.00 degrees
Element x y z (fractional)
1 V 0.5000 0.0000 0.0000
2 V 0.0000 0.5000 0.0000
3 Nb 0.0000 0.0000 0.5000
4 Au 0.5000 0.5000 0.5000
5 C 0.0000 0.0000 0.0000

Calculated values
As for the space group: P4/mmm. The energy is -8.395 eV/atom. Its formation energy is -233 meV/atom.

=====

(2)
Compound: TlCuF3
Source: Alexandria via LeMat-Bulk
Functional: PBE
Structure: optimized geometry

Cell lengths 5.9189, 5.9183, 6.2402 Å; angles 121.73, 121.74, 83.70 degrees
Each line ends with the local moment (μB).
Element x y z (fractional)
1 F 0.7120 0.6171 0.7294  0.00
2 F 0.6761 0.0814 0.7292  -0.05
3 F 0.2118 0.1166 0.7290  0.00
4 F 0.2476 0.6526 0.7294  -0.05
5 F 0.1757 0.5807 0.1570  0.05
6 F 0.7479 0.1533 0.3014  0.05
7 Tl 0.2118 0.1170 0.2292  0.00
8 Tl 0.7118 0.6170 0.2292  0.00
9 Cu 0.4619 0.8668 0.7292  -0.52
10 Cu 0.9621 0.3670 0.7292  0.52

Calculated values
As for the space group: Fmmm. The energy is -4.084 eV/atom. The uncorrected formation energy comes out at -161 kJ/mol of atoms.

=====

Computed total moment (μB per formula unit) in order:
0.00, 0.00